VZnCuPt | PBE-GGA | relaxed

Computed properties:
Total moment = 0.00 μB per formula unit
E_tot = -5.374 eV/atom
Formation energy from the elements = -0.24 eV/atom

Lattice parameters (Å, degrees): 6.0541 6.0541 6.0541 90.00 90.00 90.00
With the nearest neighbours (Å) after each atom.
Space group F-43m (No. 216)
Unique sites:
V 0.0000 0.0000 0.0000 (multiplicity 4)  4 Cu 2.62, 4 Pt 2.62
Zn 0.0000 0.0000 0.5000 (multiplicity 4)  4 Cu 2.62, 4 Pt 2.62
Cu 0.2500 0.2500 0.7500 (multiplicity 4)  4 Zn 2.62, 4 V 2.62
Pt 0.2500 0.2500 0.2500 (multiplicity 4)  4 Zn 2.62, 4 V 2.62

Li2TaCl | PBE-GGA | relaxed

Computed properties:
Total moment = 0.00 μB per formula unit
E_tot = -4.316 eV/atom
Energy relative to the elements, uncorrected = 0.066 eV per atom

Lattice parameters (Å, degrees): 9.3124 2.9078 5.3037 90.00 114.61 90.00
With the nearest neighbours (Å) after each atom.
Space group Cm (No. 8)
Unique sites:
Li 0.0000 0.0000 0.0000 (multiplicity 2)  2 Cl 2.41, 1 Li 2.62
Li 0.2140 0.0000 0.7992 (multiplicity 2)  2 Cl 2.54, 3 Li 2.62-2.82
Ta 0.3088 0.5000 0.3784 (multiplicity 2)  3 Cl 2.47-2.62
Cl 0.0458 0.5000 0.3896 (multiplicity 2)  4 Li 2.41-2.54, 3 Ta 2.47-2.62

| no. | ρ (g/cm³) |
| --- | --- |
| 1 | 11.22 |
| 2 | 5.86 |